No. 1
Below is InTe2HI at its PBEsol-relaxed geometry, with properties calculated at the SCAN level.

extended XYZ file:
```
5
Lattice="-1.440 -5.172 1.719 2.546 0.934 4.943 -5.068 2.144 2.206" Properties=species:S:1:pos:R:3 pbc="T T T"
H -1.981 -1.047 4.434
In 0.000 0.000 0.000
I -2.534 1.072 1.103
Te 1.273 0.467 2.471
Te -0.720 -2.586 0.860
```

Summary:
crystal system = tetragonal

No. 2
Below is H2IrIO at its PBEsol-relaxed geometry, with properties calculated at the SCAN level.

extended XYZ file:
```
5
Lattice="-1.244 -1.005 -3.321 -3.540 -1.311 1.723 -1.651 3.771 -0.523" Properties=species:S:1:pos:R:3 pbc="T T T"
H -0.825 1.886 -0.261
H -1.770 -0.655 0.861
I -3.217 0.728 -1.060
Ir 0.000 0.000 0.000
O -0.622 -0.502 -1.660
```

Summary:
crystal system = tetragonal

No. 3
Below is K2HI at its PBEsol-relaxed geometry, with properties calculated at the SCAN level.

extended XYZ file:
```
8
Lattice="-5.311 2.272 -4.041 2.320 -6.350 -1.997 -5.667 -4.164 0.483" Properties=species:S:1:pos:R:3 pbc="T T T"
I 0.000 0.000 0.000
I -3.492 -1.492 -2.399
K -7.294 -2.753 -2.232
K -3.361 -4.942 -2.702
K -6.568 -5.539 -4.972
K -0.093 -3.249 -1.203
H -1.674 -5.257 -0.757
H -5.166 -6.750 -3.156
```

Summary:
crystal system = tetragonal

No. 4
Below is KHI at its PBEsol-relaxed geometry, with properties calculated at the SCAN level.

extended XYZ file:
```
6
Lattice="4.847 0.000 0.000 2.424 4.198 0.000 2.424 1.399 8.500" Properties=species:S:1:pos:R:3 pbc="T T T"
K 7.271 4.198 3.306
K 2.424 1.399 7.504
I 2.424 1.399 1.229
I 4.847 2.799 5.350
H 7.271 4.198 7.189
H 7.271 4.198 7.961
```

Summary:
crystal system = trigonal

No. 5
Below is K2MgH4I4O14 at its PBEsol-relaxed geometry, with properties calculated at the SCAN level.

extended XYZ file:
```
25
Lattice="-4.404 5.613 -3.229 -3.069 -5.842 4.217 4.550 1.908 6.076" Properties=species:S:1:pos:R:3 pbc="T T T"
O -1.257 -0.918 7.561
O -1.033 3.727 1.569
O 1.362 -0.058 4.089
O 0.378 -2.889 8.651
O 1.419 -0.892 6.953
O -3.414 2.599 -0.012
O -3.054 0.075 4.872
O -0.611 -2.008 5.325
O -1.748 -3.153 3.324
O -0.574 -1.096 1.863
O 0.346 1.610 2.163
O -0.230 2.033 4.877
O -4.289 -0.402 2.398
O -2.675 1.787 2.761
H -0.550 4.536 1.201
H -1.057 -1.607 6.141
H -0.424 2.951 1.793
H -1.229 -2.442 4.650
K -2.591 -0.079 0.342
K -6.516 -0.200 0.861
I 0.366 -1.063 8.449
I -4.073 0.941 3.634
I -4.827 2.695 -1.182
I -0.263 0.695 3.616
Mg -3.010 3.666 1.831
```

Summary:
crystal system = monoclinic

No. 6
Below is K2MnH4I4O14 at its PBEsol-relaxed geometry, with properties calculated at the SCAN level.

extended XYZ file:
```
25
Lattice="-5.594 -4.556 2.220 -1.412 -6.540 -4.147 1.811 -6.905 3.225" Properties=species:S:1:pos:R:3 pbc="T T T"
K -3.641 -2.965 1.445
K -0.713 -0.581 0.283
O -2.493 -6.256 -1.206
O 0.677 -8.993 1.164
O -4.332 -8.085 -0.331
O -1.523 -10.453 1.891
O -5.375 -12.425 -0.226
O -4.023 -5.644 1.047
O -3.495 -8.289 2.675
O -4.606 -10.636 1.446
O -2.933 -10.715 -0.887
O -1.559 -8.155 0.237
O -2.920 -13.767 0.098
O 0.091 -11.328 -0.249
O 0.041 -5.689 1.579
O -1.059 -3.243 0.718
H -5.052 -10.538 2.356
H -1.739 -7.352 -0.361
H -4.959 -11.385 0.854
H -0.598 -8.321 0.525
I -2.644 -6.649 2.919
I -4.271 -6.265 -0.666
I 0.258 -10.773 1.496
I -1.488 -10.486 -2.042
Mn -3.097 -9.407 0.847
```

Summary:
crystal system = monoclinic

No. 7
Below is K2NaH10IO10 at its PBEsol-relaxed geometry, with properties calculated at the SCAN level.

extended XYZ file:
```
48
Lattice="-2.010 -6.482 -0.239 1.651 -0.415 7.042 -8.501 6.072 0.872" Properties=species:S:1:pos:R:3 pbc="T T T"
O -6.154 -2.937 5.448
O -7.413 0.019 7.372
O -5.010 2.321 3.507
O -2.706 2.113 2.227
O -8.100 1.457 2.495
O -1.168 -5.128 3.773
O -7.692 4.304 3.902
O -5.336 -0.340 5.697
O -3.850 -3.145 4.169
O -1.542 0.706 6.840
O -3.523 -0.484 1.979
O -4.022 1.378 7.198
O -1.027 0.066 2.785
O -4.838 -2.203 0.477
O -2.756 -4.751 0.349
O -7.833 -0.891 4.891
O -6.104 3.927 7.326
O -0.760 -2.282 5.180
O -1.447 -0.843 0.303
O -7.318 -1.530 0.836
H -4.169 2.154 2.968
H -6.363 -1.788 0.535
H -8.427 0.963 1.666
H 0.174 -1.023 2.754
H -2.497 0.963 7.141
H -4.691 -2.979 4.707
H -4.061 2.226 6.631
H -4.798 -3.050 1.044
H -9.034 0.199 4.921
H -4.587 0.684 6.708
H -0.161 -2.011 4.426
H -8.699 1.187 3.250
H -4.703 2.876 4.291
H -6.891 4.475 7.718
H -1.949 -5.591 3.296
H -4.273 -1.509 0.968
H -6.910 4.766 4.379
H -1.968 -5.299 -0.043
H -0.433 -1.787 6.010
H -4.156 -3.700 3.384
I -6.738 -1.372 6.327
I -2.122 0.547 1.348
K -6.974 2.035 5.567
K -2.850 -0.562 4.759
K -1.886 -2.859 2.108
K -6.010 -0.263 2.916
Na -2.242 -4.000 5.637
Na -6.618 3.175 2.038
```

Summary:
crystal system = triclinic

No. 8
Below is KHI2O6 at its PBEsol-relaxed geometry, with properties calculated at the SCAN level.

extended XYZ file:
```
40
Lattice="7.344 0.000 0.000 0.000 8.542 0.027 0.000 -3.901 9.601" Properties=species:S:1:pos:R:3 pbc="T T T"
I 5.058 4.336 1.236
I 1.386 4.577 8.407
I 4.202 0.633 4.767
I 3.142 4.008 4.862
I 2.286 0.305 8.393
I 5.958 0.065 1.222
I 0.530 -0.263 4.848
I 6.814 4.905 4.781
O 2.489 3.566 7.363
O 3.403 -0.953 4.177
O 4.728 3.100 5.166
O 6.171 0.370 9.333
O 4.032 0.388 6.575
O 2.616 1.542 4.463
O 7.076 1.324 5.438
O 0.360 -0.017 3.040
O 3.372 -0.969 9.090
O 7.045 1.340 0.525
O 1.183 -0.705 7.350
O 1.173 4.272 0.295
O 3.941 5.595 5.452
O 2.499 0.000 0.281
O 0.300 3.302 9.104
O 6.161 5.347 2.279
O 4.855 1.075 2.265
O 0.269 3.318 4.190
O 3.972 5.611 0.538
O 1.056 5.813 4.476
O 6.288 -1.171 5.152
O 4.846 4.641 9.347
O 3.312 4.254 3.053
O 6.984 4.659 6.589
K 5.547 -1.733 7.701
K 5.470 2.538 7.714
K 1.874 2.104 1.914
K 1.798 6.375 1.928
H 3.672 0.000 0.000
H 0.000 4.271 0.014
H 0.000 2.321 4.814
H 3.672 -1.950 4.801
```

Summary:
crystal system = monoclinic

| no. | E (eV/atom) |
| --- | --- |
| 1 | -28.901 |
| 2 | -23.553 |
| 3 | -15.119 |
| 4 | -17.259 |
| 5 | -11.849 |
| 6 | -12.290 |
| 7 | -7.604 |
| 8 | -13.065 |